# Fe3CuF

A crystal of Fe3CuF relaxed with PBEsol (SCAN, the Alexandria database).

Cell and atoms, written as POSCAR:
```
Fe3CuF
1.0
3.925 0.000 0.000
0.000 3.925 0.000
0.000 0.000 3.925
Fe Cu F
3 1 1
Cartesian
0.000 0.000 1.962
0.000 1.962 0.000
1.962 0.000 0.000
1.962 1.962 1.962
0.000 0.000 0.000
```

Output
The calculation puts the density at 6.9 g/cm3. The calculation puts the raw total energy at -14.3882 eV per atom. As for the space group: Pm-3m, No. 221. As for the density of states at the Fermi level: 4.2 states/eV per cell. The calculation puts the total magnetization at 9.169 Bohr magnetons per cell. The formation energy (no corrections) comes out at 1.19 eV/f.u.